# ScTa2Zn2 | Alexandria | PBE-GGA | relaxed
# Polymorph energy (0 for the lowest one)   23 kJ/mol of formula units
# Fermi-level density of states   12.98 states/eV per cell
# ΔH_f (0 K)   0.146 eV/atom
data_ScTa2Zn2
_symmetry_space_group_name_H-M 'P 1'
_symmetry_Int_Tables_number 1
_cell_length_a 7.388
_cell_length_b 7.388
_cell_length_c 3.228
_cell_angle_alpha 90.00
_cell_angle_beta 90.00
_cell_angle_gamma 90.00
loop_
_symmetry_equiv_pos_as_xyz
'x,y,z'
loop_
_atom_site_label
_atom_site_type_symbol
_atom_site_fract_x
_atom_site_fract_y
_atom_site_fract_z
_atom_site_occupancy
Sc1 Sc 0.000 0.000 0.000 1
Sc2 Sc 0.500 0.500 0.000 1
Ta1 Ta 0.176 0.324 0.500 1
Ta2 Ta 0.324 0.824 0.500 1
Ta3 Ta 0.676 0.176 0.500 1
Ta4 Ta 0.824 0.676 0.500 1
Zn1 Zn 0.122 0.622 0.000 1
Zn2 Zn 0.378 0.122 0.000 1
Zn3 Zn 0.622 0.878 0.000 1
Zn4 Zn 0.878 0.378 0.000 1